The following is a PBE calculation of a relaxed NaGa6 crystal, from Alexandria.

The structure belongs to space group Im-3m (No. 229); the cell edges are 7.174, 7.174 and 7.174 Å and the angles 90.00°, 90.00° and 90.00°. The inequivalent atoms are Na at (0.000, 0.000, 0.000) and Ga at (0.000, 0.250, 0.500).

For the energy above the lowest structure with this stoichiometry, the calculation gives 207.5 meV per atom. The value obtained for the density of states at the Fermi level is 4.383 states/eV/f.u. As for the total energy: -0.0980 Ha/atom. The crystal system is cubic. As for the formation energy: 11.2 kJ/mol of atoms.